Density functional theory data (PBE) for a relaxed structure of TbTmAg2Se4.

Calculated values
Symmetry: No. 10
Energy relative to the elements, uncorrected, meV per atom: -1160
DOS(E_F), states/eV/cell: 0.0

Lattice parameters (Å, degrees): 4.1591 6.8980 7.1983 70.13 90.00 90.00
Closest atoms and distances in Å follow each position.
Fractional positions:
Tb 0.0000 0.5000 0.5000  6 Se 2.89
Tm 0.5000 0.5000 0.0000  6 Se 2.86
Ag 0.0000 0.0000 0.0000  6 Se 2.88-2.92
Ag 0.5000 0.0000 0.5000  6 Se 2.91-2.94
Se 0.0000 0.7432 0.7577  2 Tm 2.86, 3 Ag 2.88-2.94, 1 Tb 2.89
Se 0.0000 0.2568 0.2423  2 Tm 2.86, 3 Ag 2.88-2.94, 1 Tb 2.89
Se 0.5000 0.7446 0.2500  1 Tm 2.86, 2 Tb 2.89, 3 Ag 2.91-2.92
Se 0.5000 0.2554 0.7500  1 Tm 2.86, 2 Tb 2.89, 3 Ag 2.91-2.92